Entry 1:
Ba2FeRu | GGA-PBE | optimized geometry

a = 7.1445 Å, b = 7.1445 Å, c = 7.1445 Å
α = 147.66°, β = 139.40°, γ = 52.83°
Closest atoms and distances in Å follow each position.
Fractional positions:
Ru1 0.3253 0.8253 0.5000  2 Fe 2.35
Ba1 0.7419 0.2419 0.5000  4 Ru 3.35, 2 Fe 3.40
Ba2 0.0093 0.0093 0.0000  4 Fe 3.36, 2 Ru 3.42
Fe1 0.4236 0.4236 0.0000  2 Ru 2.35

Computed properties:
Calculated formation energy: 0.47 eV per atom
Symmetry: Imm2
Magnetization: 3.32 μB per formula unit
Excess energy over the best structure of this formula in the dataset: 195 meV per atom

---

Entry 2:
BaFeRu2 | GGA-PBE | optimized geometry

a = 5.6506 Å, b = 5.6506 Å, c = 5.6506 Å
α = 148.99°, β = 125.54°, γ = 64.00°
Closest atoms and distances in Å follow each position.
Fractional positions:
Fe1 0.2500 0.7500 0.5000  4 Ru 2.53
Ba1 0.7500 0.2500 0.5000  4 Fe 2.99, 2 Ba 3.02, 8 Ru 3.15-3.28
Ru1 0.4614 0.4614 0.0000  2 Fe 2.53
Ru2 0.0386 0.0386 0.0000  2 Fe 2.53

Computed properties:
Calculated formation energy: 0.91 eV per atom
Symmetry: Immm
Magnetization: 3.27 μB per formula unit
Excess energy over the best structure of this formula in the dataset: 555 meV per atom

---

Entry 3:
Ba2FeRu | GGA-PBE | optimized geometry

a = 3.6569 Å, b = 3.5336 Å, c = 9.4560 Å
α = 97.65°, β = 90.00°, γ = 90.00°
Closest atoms and distances in Å follow each position.
Fractional positions:
Fe1 0.0000 0.7729 0.6005  4 Ru 2.57-2.60
Ba1 0.5000 0.2446 0.3386  1 Ru 2.91
Ru1 0.5000 0.2966 0.6482  4 Fe 2.57-2.60
Ba2 0.0000 0.1859 0.9127  1 Fe 3.11, 2 Ru 3.16

Computed properties:
Calculated formation energy: 0.49 eV per atom
Symmetry: Pm
Magnetization: 3.75 μB per formula unit
Excess energy over the best structure of this formula in the dataset: 215 meV per atom

---

Entry 4:
BaFe3Ru | GGA-PBE | optimized geometry

a = 4.7734 Å, b = 4.7734 Å, c = 4.7734 Å
α = 90.00°, β = 90.00°, γ = 90.00°
Closest atoms and distances in Å follow each position.
Fractional positions:
Ba1 0.0000 0.0000 0.0000  6 Fe 2.39
Fe1 0.5000 0.0000 0.0000  2 Ba 2.39
Fe2 0.0000 0.5000 0.0000  2 Ba 2.39
Ru1 0.5000 0.5000 0.5000  12 Fe 3.38
Fe3 0.0000 0.0000 0.5000  2 Ba 2.39

Computed properties:
Calculated formation energy: 2.69 eV per atom
Symmetry: Pm-3m
Magnetization: 9.12 μB per formula unit
Excess energy over the best structure of this formula in the dataset: 1822 meV per atom

---

Entry 5:
BaFeRu2 | GGA-PBE | optimized geometry

a = 9.4059 Å, b = 9.4059 Å, c = 9.4059 Å
α = 18.71°, β = 18.71°, γ = 18.71°
Closest atoms and distances in Å follow each position.
Fractional positions:
Ru1 0.0185 0.0185 0.0185  3 Fe 2.52
Ru2 0.4815 0.4815 0.4815  3 Fe 2.52
Fe1 0.7500 0.7500 0.7500  6 Ru 2.52
Ba1 0.2500 0.2500 0.2500  6 Ba 3.06, 6 Ru 3.33

Computed properties:
Calculated formation energy: 0.94 eV per atom
Symmetry: R-3m
Magnetization: 4.26 μB per formula unit
Excess energy over the best structure of this formula in the dataset: 588 meV per atom

---

Entry 6:
Ba3FeRu | GGA-PBE | optimized geometry

a = 5.8219 Å, b = 5.8219 Å, c = 5.8219 Å
α = 90.00°, β = 90.00°, γ = 90.00°
Closest atoms and distances in Å follow each position.
Fractional positions:
Ba1 0.0000 0.5000 0.0000  2 Ru 2.91
Fe1 0.5000 0.5000 0.5000  12 Ba 4.12
Ba2 0.5000 0.0000 0.0000  2 Ru 2.91
Ba3 0.0000 0.0000 0.5000  2 Ru 2.91
Ru1 0.0000 0.0000 0.0000  6 Ba 2.91

Computed properties:
Calculated formation energy: 1.02 eV per atom
Symmetry: Pm-3m
Magnetization: 0.50 μB per formula unit
Excess energy over the best structure of this formula in the dataset: 0 meV per atom